Material: Gd2ReO5
Method: DFT, GGA-PBE
State: relaxed

```
data_Gd2ReO5
_cell_length_a 8.546
_cell_length_b 8.546
_cell_length_c 5.657
_cell_angle_alpha 90.00
_cell_angle_beta 90.00
_cell_angle_gamma 90.00
_space_group_name_H-M_alt 'P 1'
_space_group_IT_number 1
loop_
_space_group_symop_operation_xyz
'x,y,z'
loop_
_atom_site_label
_atom_site_type_symbol
_atom_site_fract_x
_atom_site_fract_y
_atom_site_fract_z
_atom_site_occupancy
O1 O 0.158 0.453 0.604 1
O2 O 0.250 0.750 0.000 1
O3 O 0.844 0.953 0.900 1
O4 O 0.342 0.047 0.604 1
O5 O 0.156 0.047 0.100 1
O6 O 0.250 0.750 0.500 1
O7 O 0.953 0.842 0.396 1
O8 O 0.047 0.158 0.604 1
O9 O 0.658 0.953 0.396 1
O10 O 0.750 0.250 0.500 1
O11 O 0.344 0.453 0.100 1
O12 O 0.656 0.547 0.900 1
O13 O 0.750 0.250 0.000 1
O14 O 0.547 0.844 0.900 1
O15 O 0.842 0.547 0.396 1
O16 O 0.453 0.156 0.100 1
O17 O 0.047 0.344 0.100 1
O18 O 0.953 0.656 0.900 1
O19 O 0.453 0.342 0.604 1
O20 O 0.547 0.658 0.396 1
Gd1 Gd 0.900 0.392 0.750 1
Gd2 Gd 0.100 0.608 0.250 1
Gd3 Gd 0.892 0.100 0.250 1
Gd4 Gd 0.600 0.108 0.750 1
Gd5 Gd 0.108 0.900 0.750 1
Gd6 Gd 0.608 0.400 0.250 1
Gd7 Gd 0.392 0.600 0.750 1
Gd8 Gd 0.400 0.892 0.250 1
Re1 Re 0.750 0.750 0.456 1
Re2 Re 0.250 0.250 0.151 1
Re3 Re 0.250 0.250 0.544 1
Re4 Re 0.750 0.750 0.849 1
```

M_tot: 0.00 μB/f.u.
DFT total energy: -0.6332 Ry/atom
crystal system: tetragonal